Record 1
{"formula": "CsNbSO", "functional": "PBE", "state": "relaxed", "cell": [[4.070, 0.000, 0.000], [0.000, 8.048, 0.000], [0.000, 0.000, 6.825]], "species": ["Cs", "Cs", "Nb", "Nb", "S", "S", "O", "O"], "fractional_positions": [[0.000, 0.183, 0.000], [0.000, 0.817, 0.500], [0.500, 0.402, 0.455], [0.500, 0.598, 0.955], [0.000, 0.247, 0.505], [0.000, 0.753, 0.005], [0.500, 0.436, 0.170], [0.500, 0.564, 0.670]], "relative_energy_ev_per_atom": 0.079, "dft_energy_ev_per_atom": -6.30}



Record 2
{"formula": "CsNbSO", "functional": "PBE", "state": "relaxed", "cell": [[4.429, 0.000, 0.000], [0.000, 4.429, 0.000], [0.000, 0.000, 9.906]], "species": ["Cs", "Cs", "Nb", "Nb", "S", "S", "O", "O"], "fractional_positions": [[0.250, 0.750, 0.000], [0.750, 0.250, 0.000], [0.250, 0.250, 0.478], [0.750, 0.750, 0.522], [0.250, 0.250, 0.245], [0.750, 0.750, 0.755], [0.250, 0.750, 0.500], [0.750, 0.250, 0.500]], "relative_energy_ev_per_atom": 0.545, "dft_energy_ev_per_atom": -5.83}



Record 3
{"formula": "Cs2SrNb4O12", "functional": "PBE", "state": "relaxed", "cell": [[8.244, 0.000, 0.000], [0.000, 8.244, 0.000], [0.000, 0.000, 5.783]], "species": ["Cs", "Cs", "Sr", "Nb", "Nb", "Nb", "Nb", "O", "O", "O", "O", "O", "O", "O", "O", "O", "O", "O", "O"], "fractional_positions": [[0.000, 0.500, 0.000], [0.500, 0.000, 0.000], [0.000, 0.000, 0.000], [0.269, 0.269, 0.500], [0.269, 0.731, 0.500], [0.731, 0.269, 0.500], [0.731, 0.731, 0.500], [0.183, 0.183, 0.243], [0.183, 0.183, 0.757], [0.183, 0.817, 0.243], [0.183, 0.817, 0.757], [0.219, 0.500, 0.500], [0.500, 0.219, 0.500], [0.500, 0.781, 0.500], [0.781, 0.500, 0.500], [0.817, 0.183, 0.243], [0.817, 0.183, 0.757], [0.817, 0.817, 0.243], [0.817, 0.817, 0.757]], "dft_energy_ev_per_atom": -7.93}



Number 1: spin magnetization 1.037 μB per formula unit. Number 2: spin magnetization 0.282 μB per formula unit. Number 3: spin magnetization 0.001 μB per formula unit.